(1)
## LuMgZnIn (GGA-PBE)

Data for LuMgZnIn after structural relaxation.

Values from the calculation:
**Space group**: F-43m
**Formation energy**: -6.21 kcal/mol of atoms

Cell lengths 4.974, 4.974, 4.974 Å; angles 60.00, 60.00, 60.00 degrees
Positions (direct):
Lu (0.000, 0.000, 0.000)
Mg (0.500, 0.500, 0.500)
Zn (0.250, 0.250, 0.250)
In (0.750, 0.750, 0.750)

=====

(2)
## LuMnIn (GGA-PBE)

Data for LuMnIn after structural relaxation.

Values from the calculation:
**Space group**: P-6m2
**Formation energy**: -1.79 kcal/mol of atoms

Cell lengths 4.731, 4.731, 3.399 Å; angles 90.00, 90.00, 120.00 degrees
Positions (direct):
Lu (0.000, 0.000, 0.000)
Mn (0.333, 0.667, 0.500)
In (0.667, 0.333, 0.500)

=====

(3)
## LuMnIn2 (GGA-PBE)

Data for LuMnIn2 after structural relaxation.

Values from the calculation:
**Space group**: P4/mmm
**Formation energy**: -2.16 kcal/mol of atoms

Cell lengths 4.458, 4.458, 4.413 Å; angles 90.00, 90.00, 90.00 degrees
Positions (direct):
Lu (0.000, 0.000, 0.000)
Mn (0.500, 0.500, 0.000)
In (0.000, 0.500, 0.500)
In (0.500, 0.000, 0.500)

=====

(4)
## LuMnIn2 (GGA-PBE)

Data for LuMnIn2 after structural relaxation.

Values from the calculation:
**Space group**: P4/mmm
**Formation energy**: -1.69 kcal/mol of atoms

Cell lengths 3.305, 3.305, 7.857 Å; angles 90.00, 90.00, 90.00 degrees
Positions (direct):
Lu (0.000, 0.000, 0.000)
Mn (0.000, 0.000, 0.500)
In (0.500, 0.500, 0.282)
In (0.500, 0.500, 0.718)

=====

(5)
## NdLuMnIn (GGA-PBE)

Data for NdLuMnIn after structural relaxation.

Values from the calculation:
**Space group**: F-43m
**Formation energy**: -1.61 kcal/mol of atoms

Cell lengths 5.232, 5.232, 5.232 Å; angles 60.00, 60.00, 60.00 degrees
Positions (direct):
Nd (0.000, 0.000, 0.000)
Lu (0.500, 0.500, 0.500)
Mn (0.250, 0.250, 0.250)
In (0.750, 0.750, 0.750)

=====

(6)
## LuScMnIn (GGA-PBE)

Data for LuScMnIn after structural relaxation.

Values from the calculation:
**Space group**: F-43m
**Formation energy**: -2.35 kcal/mol of atoms

Cell lengths 4.994, 4.994, 4.994 Å; angles 60.00, 60.00, 60.00 degrees
Positions (direct):
Lu (0.000, 0.000, 0.000)
Sc (0.500, 0.500, 0.500)
Mn (0.250, 0.250, 0.250)
In (0.750, 0.750, 0.750)

=====

(7)
## LuThMnIn (GGA-PBE)

Data for LuThMnIn after structural relaxation.

Values from the calculation:
**Space group**: F-43m
**Formation energy**: 0.29 kcal/mol of atoms

Cell lengths 5.220, 5.220, 5.220 Å; angles 60.00, 60.00, 60.00 degrees
Positions (direct):
Lu (0.000, 0.000, 0.000)
Th (0.500, 0.500, 0.500)
Mn (0.250, 0.250, 0.250)
In (0.750, 0.750, 0.750)

=====

(8)
## YLuMnIn (GGA-PBE)

Data for YLuMnIn after structural relaxation.

Values from the calculation:
**Space group**: F-43m
**Formation energy**: -2.37 kcal/mol of atoms

Cell lengths 5.152, 5.152, 5.152 Å; angles 60.00, 60.00, 60.00 degrees
Positions (direct):
Y (0.000, 0.000, 0.000)
Lu (0.500, 0.500, 0.500)
Mn (0.750, 0.750, 0.750)
In (0.250, 0.250, 0.250)